Version a
Computed, not measured: crystalline TbPr2Sm7 at its relaxed geometry at the PBE level of DFT.

Cell: 15.0724 15.0724 3.5000 Å, 90.00 90.00 154.29°
Closest atoms and distances in Å follow each position.
Positions (direct):
Tb 0.0000 0.0000 0.0000  2 Tb 3.50, 12 Sm 3.75-3.78
Pr 0.2954 0.7046 0.5000  2 Pr 3.50, 8 Sm 3.57-3.82
Pr 0.7046 0.2954 0.5000  2 Pr 3.50, 8 Sm 3.57-3.82
Sm 0.1469 0.3428 0.5000  7 Sm 3.28-3.56, 1 Pr 3.57
Sm 0.1873 0.8127 0.0000  6 Sm 3.50-3.56, 6 Pr 3.63-3.82
Sm 0.3428 0.1469 0.5000  7 Sm 3.28-3.56, 1 Pr 3.57
Sm 0.5000 0.5000 0.5000  6 Sm 3.35-3.50
Sm 0.6572 0.8531 0.5000  7 Sm 3.28-3.56, 1 Pr 3.57
Sm 0.8127 0.1873 0.0000  6 Sm 3.50-3.56, 6 Pr 3.63-3.82
Sm 0.8531 0.6572 0.5000  7 Sm 3.28-3.56, 1 Pr 3.57

Size of the total moment ... 0.00 Bohr magnetons per cell
SG ... Cmmm, No. 65

Version b
Computed, not measured: crystalline TbPr2Sm7 at its relaxed geometry at the PBE level of DFT.

Cell: 6.2962 7.2778 8.1393 Å, 77.12 75.02 73.51°
Closest atoms and distances in Å follow each position.
Positions (direct):
Tb 0.0000 0.0000 0.0000  10 Sm 3.62-3.64, 2 Pr 3.63
Pr 0.2009 0.2986 0.6009  10 Sm 3.63-3.66, 1 Tb 3.63, 1 Pr 3.67
Pr 0.7991 0.7014 0.3991  10 Sm 3.63-3.66, 1 Tb 3.63, 1 Pr 3.67
Sm 0.0000 0.5000 0.0000  8 Sm 3.63-3.64, 2 Tb 3.64, 2 Pr 3.64
Sm 0.2000 0.8005 0.6013  4 Pr 3.63-3.65, 1 Tb 3.63, 7 Sm 3.63-3.66
Sm 0.3989 0.1003 0.1981  8 Sm 3.62-3.65, 2 Tb 3.62-3.64, 2 Pr 3.65-3.66
Sm 0.3993 0.6009 0.1984  8 Sm 3.62-3.66, 1 Tb 3.64, 3 Pr 3.64-3.66
Sm 0.6007 0.3991 0.8016  8 Sm 3.62-3.66, 1 Tb 3.64, 3 Pr 3.64-3.66
Sm 0.6011 0.8997 0.8019  8 Sm 3.62-3.65, 2 Tb 3.62-3.64, 2 Pr 3.65-3.66
Sm 0.8000 0.1995 0.3987  4 Pr 3.63-3.65, 1 Tb 3.63, 7 Sm 3.63-3.66

Size of the total moment ... 0.00 Bohr magnetons per cell
SG ... P-1, No. 2

Stability ranking, top entry: version b; the second entry is 0.136 eV/atom less favorable.

Version a
Computed, not measured: crystalline TbPr5Sm3 at its relaxed geometry at the PBE level of DFT.

Cell: 9.0270 9.0270 11.8094 Å, 107.76 107.76 44.71°
Closest atoms and distances in Å follow each position.
Positions (direct):
Tb 0.1820 0.8180 0.7500  2 Sm 3.13, 1 Pr 3.15
Tb 0.8180 0.1820 0.2500  2 Sm 3.13, 1 Pr 3.15
Pr 0.1043 0.1114 0.0471  4 Pr 3.40-3.73, 2 Sm 3.52-3.81, 2 Tb 3.61-3.65
Pr 0.1114 0.1043 0.5471  4 Pr 3.40-3.73, 2 Sm 3.52-3.81, 2 Tb 3.61-3.65
Pr 0.1295 0.3521 0.8614  4 Sm 3.41-3.62, 4 Pr 3.57-3.73
Pr 0.2764 0.7236 0.2500  1 Tb 3.15, 2 Sm 3.33
Pr 0.3521 0.1295 0.3614  4 Sm 3.41-3.62, 4 Pr 3.57-3.73
Pr 0.6479 0.8705 0.6386  4 Sm 3.41-3.62, 4 Pr 3.57-3.73
Pr 0.7236 0.2764 0.7500  1 Tb 3.15, 2 Sm 3.33
Pr 0.8705 0.6479 0.1386  4 Sm 3.41-3.62, 4 Pr 3.57-3.73
Pr 0.8886 0.8957 0.4529  4 Pr 3.40-3.73, 2 Sm 3.52-3.81, 2 Tb 3.61-3.65
Pr 0.8957 0.8886 0.9529  4 Pr 3.40-3.73, 2 Sm 3.52-3.81, 2 Tb 3.61-3.65
Sm 0.2148 0.4357 0.6334  1 Tb 3.13, 2 Pr 3.41-3.43
Sm 0.4357 0.2148 0.1334  1 Tb 3.13, 2 Pr 3.41-3.43
Sm 0.5000 0.5000 0.0000  2 Pr 3.33, 2 Tb 3.67
Sm 0.5000 0.5000 0.5000  2 Pr 3.33, 2 Tb 3.67
Sm 0.5643 0.7852 0.8666  1 Tb 3.13, 2 Pr 3.41-3.43
Sm 0.7852 0.5643 0.3666  1 Tb 3.13, 2 Pr 3.41-3.43

Size of the total moment ... 0.00 Bohr magnetons per cell
SG ... C2/c, No. 15

Version b
Computed, not measured: crystalline TbPr5Sm3 at its relaxed geometry at the PBE level of DFT.

Cell: 8.1937 8.1937 11.8295 Å, 107.97 107.97 89.75°
Closest atoms and distances in Å follow each position.
Positions (direct):
Tb 0.0893 0.0893 0.2941  4 Sm 3.03-3.17, 1 Pr 3.33
Tb 0.9107 0.9107 0.7059  4 Sm 3.03-3.17, 1 Pr 3.33
Pr 0.0307 0.5626 0.8512  3 Sm 3.24-3.56
Pr 0.2553 0.7447 0.5000  1 Sm 2.95
Pr 0.3056 0.3056 0.5934  3 Sm 3.23-3.42, 1 Pr 3.24, 1 Tb 3.33
Pr 0.4374 0.9693 0.1488  3 Sm 3.24-3.56
Pr 0.4729 0.4729 0.1200  2 Pr 3.17-3.24, 2 Sm 3.27-3.34
Pr 0.5271 0.5271 0.8800  2 Pr 3.17-3.24, 2 Sm 3.27-3.34
Pr 0.5626 0.0307 0.8512  3 Sm 3.24-3.56
Pr 0.6944 0.6944 0.4066  3 Sm 3.23-3.42, 1 Pr 3.24, 1 Tb 3.33
Pr 0.7447 0.2553 0.5000  1 Sm 2.95
Pr 0.9693 0.4374 0.1488  3 Sm 3.24-3.56
Sm 0.0000 0.0000 0.0000  2 Tb 3.17, 4 Pr 3.52
Sm 0.0000 0.0000 0.5000  4 Pr 2.95-3.23, 2 Tb 3.03
Sm 0.2082 0.2082 0.8485  1 Tb 3.12, 3 Pr 3.24-3.34
Sm 0.3787 0.3787 0.3432  1 Tb 3.15, 5 Pr 3.27-3.42
Sm 0.6213 0.6213 0.6568  1 Tb 3.15, 5 Pr 3.27-3.42
Sm 0.7918 0.7918 0.1515  1 Tb 3.12, 3 Pr 3.24-3.34

Size of the total moment ... 0.00 Bohr magnetons per cell
SG ... C2/m, No. 12

Stability ranking, top entry: version a; the second entry is 0.384 eV/atom less favorable.

Version a
Computed, not measured: crystalline Tb7PrSm2 at its relaxed geometry at the PBE level of DFT.

Cell: 9.3021 9.3021 5.5624 Å, 90.00 90.00 124.18°
Closest atoms and distances in Å follow each position.
Positions (direct):
Tb 0.0000 0.0000 0.0000  2 Sm 3.34, 4 Tb 3.37
Tb 0.2094 0.4358 0.0000  2 Tb 3.09-3.37, 2 Sm 3.18-3.39
Tb 0.2852 0.7148 0.5000  2 Sm 3.09
Tb 0.4358 0.2094 0.0000  2 Tb 3.09-3.37, 2 Sm 3.18-3.39
Tb 0.5642 0.7906 0.0000  2 Tb 3.09-3.37, 2 Sm 3.18-3.39
Tb 0.7148 0.2852 0.5000  2 Sm 3.09
Tb 0.7906 0.5642 0.0000  2 Tb 3.09-3.37, 2 Sm 3.18-3.39
Pr 0.5000 0.5000 0.5000  10 Tb 3.53-3.69
Sm 0.2033 0.7967 0.0000  7 Tb 3.09-3.39
Sm 0.7967 0.2033 0.0000  7 Tb 3.09-3.39

Size of the total moment ... 0.00 Bohr magnetons per cell
SG ... Cmmm, No. 65

Version b
Computed, not measured: crystalline Tb7PrSm2 at its relaxed geometry at the PBE level of DFT.

Cell: 9.5379 9.5379 7.0748 Å, 111.69 111.69 33.54°
Closest atoms and distances in Å follow each position.
Positions (direct):
Tb 0.0000 0.0000 0.0000  2 Sm 3.35, 2 Pr 3.54, 8 Tb 3.74
Tb 0.2004 0.2004 0.7004  4 Sm 3.23-3.54, 1 Pr 3.38
Tb 0.3920 0.3920 0.1405  8 Tb 3.52-3.74, 3 Sm 3.61-3.71, 2 Pr 3.75
Tb 0.3918 0.3918 0.6431  8 Tb 3.52-3.74, 3 Sm 3.60-3.71, 2 Pr 3.75
Tb 0.6082 0.6082 0.3569  8 Tb 3.52-3.74, 3 Sm 3.60-3.71, 2 Pr 3.75
Tb 0.6080 0.6080 0.8595  8 Tb 3.52-3.74, 3 Sm 3.61-3.71, 2 Pr 3.75
Tb 0.7996 0.7996 0.2996  4 Sm 3.23-3.54, 1 Pr 3.38
Pr 0.0000 0.0000 0.5000  12 Tb 3.38-3.75
Sm 0.1987 0.1987 0.1986  9 Tb 3.23-3.61
Sm 0.8013 0.8013 0.8014  9 Tb 3.23-3.61

Size of the total moment ... 0.00 Bohr magnetons per cell
SG ... C2/m, No. 12

Stability ranking, top entry: version b; the second entry is 0.631 eV/atom less favorable.

Version a
Computed, not measured: crystalline TbPr8Sm2 at its relaxed geometry at the PBE level of DFT.

Cell: 9.1928 9.1928 6.8205 Å, 99.96 99.96 44.15°
Closest atoms and distances in Å follow each position.
Positions (direct):
Tb 0.0000 0.0000 0.0000  4 Pr 3.40, 2 Sm 3.80
Pr 0.1758 0.6515 0.5950  5 Pr 3.29-3.62, 1 Tb 3.40, 1 Sm 3.52
Pr 0.2442 0.2442 0.3195  5 Pr 3.38-3.54, 4 Sm 3.43-3.75
Pr 0.3485 0.8242 0.4050  5 Pr 3.29-3.62, 1 Tb 3.40, 1 Sm 3.52
Pr 0.4066 0.4066 0.0839  8 Pr 3.45-3.84, 1 Sm 3.73
Pr 0.5934 0.5934 0.9161  8 Pr 3.45-3.84, 1 Sm 3.73
Pr 0.6515 0.1758 0.5950  5 Pr 3.29-3.62, 1 Tb 3.40, 1 Sm 3.52
Pr 0.7558 0.7558 0.6805  5 Pr 3.38-3.54, 4 Sm 3.43-3.75
Pr 0.8242 0.3485 0.4050  5 Pr 3.29-3.62, 1 Tb 3.40, 1 Sm 3.52
Sm 0.1955 0.1955 0.8090  7 Pr 3.43-3.75, 1 Tb 3.80
Sm 0.8045 0.8045 0.1910  7 Pr 3.43-3.75, 1 Tb 3.80

Size of the total moment ... 0.00 Bohr magnetons per cell
SG ... C2/m, No. 12

Version b
Computed, not measured: crystalline TbPr8Sm2 at its relaxed geometry at the PBE level of DFT.

Cell: 9.7389 9.7389 8.2459 Å, 104.67 104.67 31.06°
Closest atoms and distances in Å follow each position.
Positions (direct):
Tb 0.0000 0.0000 0.0000  12 Pr 3.67-3.69
Pr 0.0912 0.0912 0.4527  8 Pr 3.67-3.70, 3 Sm 3.67-3.68, 1 Tb 3.67
Pr 0.1814 0.1814 0.9099  1 Tb 3.67, 8 Pr 3.68-3.70, 3 Sm 3.69-3.70
Pr 0.3634 0.3634 0.8172  3 Sm 3.67-3.69, 7 Pr 3.67-3.69, 2 Tb 3.69
Pr 0.4542 0.4542 0.2712  9 Pr 3.68-3.71, 1 Sm 3.68, 2 Tb 3.68
Pr 0.5458 0.5458 0.7288  9 Pr 3.68-3.71, 1 Sm 3.68, 2 Tb 3.68
Pr 0.6366 0.6366 0.1828  3 Sm 3.67-3.69, 7 Pr 3.67-3.69, 2 Tb 3.69
Pr 0.8186 0.8186 0.0901  1 Tb 3.67, 8 Pr 3.68-3.70, 3 Sm 3.69-3.70
Pr 0.9088 0.9088 0.5473  8 Pr 3.67-3.70, 3 Sm 3.67-3.68, 1 Tb 3.67
Sm 0.2732 0.2732 0.3648  10 Pr 3.67-3.70, 2 Sm 3.68
Sm 0.7268 0.7268 0.6352  10 Pr 3.67-3.70, 2 Sm 3.68

Size of the total moment ... 0.00 Bohr magnetons per cell
SG ... C2/m, No. 12

Stability ranking, top entry: version b; the second entry is 0.141 eV/atom less favorable.